DFT (PBE) results for a geometry-optimized Ca2Zn2Ag5Pd structure.

Its total energy is -2.795 eV per atom. Its volume is 398.2 Å³ per cell.

It has space group P4/mbm (No. 127), with a = 10.1385 Å, b = 10.1385 Å, c = 3.8739 Å, α = 90.00°, β = 90.00° and γ = 90.00°. The inequivalent atoms are Ca at (0.1785, 0.3215, 0.0000), Zn at (0.1207, 0.6207, 0.0000), Ag at (0.0000, 0.5000, 0.5000), Ag at (0.0575, 0.8019, 0.5000) and Pd at (0.0000, 0.0000, 0.0000).